Y2ZnS4 | meta-GGA SCAN | PBEsol geometry

abc: 6.242 7.824 13.363
angles: 90.00 90.00 90.00
Fractional positions:
1 Y 0.006 0.750 0.734
2 Y 0.000 0.500 0.000
3 Y 0.494 0.750 0.234
4 Y 0.506 0.250 0.766
5 Y 0.000 0.000 0.000
6 Y 0.500 0.000 0.500
7 Y 0.500 0.500 0.500
8 Y 0.994 0.250 0.266
9 S 0.257 0.250 0.930
10 S 0.743 0.750 0.070
11 S 0.756 0.985 0.831
12 S 0.756 0.515 0.831
13 S 0.244 0.485 0.169
14 S 0.728 0.250 0.590
15 S 0.244 0.015 0.169
16 S 0.228 0.750 0.910
17 S 0.744 0.985 0.331
18 S 0.272 0.750 0.410
19 S 0.256 0.015 0.669
20 S 0.757 0.750 0.570
21 S 0.243 0.250 0.430
22 S 0.744 0.515 0.331
23 S 0.256 0.485 0.669
24 S 0.772 0.250 0.090
25 Zn 0.408 0.250 0.092
26 Zn 0.592 0.750 0.908
27 Zn 0.092 0.250 0.592
28 Zn 0.908 0.750 0.408

Output
E_form (uncorrected): -13.8 eV/f.u.
Symmetry: No. 62
Crystal system: orthorhombic

Y2ZnS4 | meta-GGA SCAN | PBEsol geometry

abc: 7.682 7.682 7.682
angles: 60.00 60.00 60.00
Fractional positions:
1 S 0.374 0.374 0.374
2 S 0.876 0.372 0.876
3 S 0.876 0.876 0.372
4 S 0.372 0.876 0.876
5 S 0.876 0.876 0.876
6 S 0.374 0.374 0.878
7 S 0.374 0.878 0.374
8 S 0.878 0.374 0.374
9 Y 0.125 0.125 0.125
10 Y 0.125 0.625 0.125
11 Y 0.125 0.125 0.625
12 Y 0.625 0.125 0.125
13 Zn 0.750 0.750 0.750
14 Zn 0.500 0.500 0.500

Output
E_form (uncorrected): -13.5 eV/f.u.
Symmetry: No. 227
Crystal system: cubic

Zr21S8 | meta-GGA SCAN | PBEsol geometry

abc: 3.500 12.672 12.672
angles: 88.91 82.06 82.06
Fractional positions:
1 Zr 0.966 0.761 0.307
2 Zr 0.636 0.909 0.820
3 Zr 0.195 0.606 0.005
4 Zr 0.190 0.206 0.414
5 Zr 0.000 0.000 0.000
6 Zr 0.273 0.693 0.761
7 Zr 0.604 0.586 0.206
8 Zr 0.200 0.995 0.606
9 Zr 0.727 0.307 0.239
10 Zr 0.805 0.394 0.995
11 Zr 0.810 0.794 0.586
12 Zr 0.396 0.414 0.794
13 Zr 0.800 0.005 0.394
14 Zr 0.547 0.368 0.537
15 Zr 0.455 0.180 0.909
16 Zr 0.453 0.632 0.463
17 Zr 0.916 0.537 0.632
18 Zr 0.545 0.820 0.091
19 Zr 0.364 0.091 0.180
20 Zr 0.084 0.463 0.368
21 Zr 0.034 0.239 0.693
22 S 0.206 0.441 0.148
23 S 0.132 0.800 0.935
24 S 0.354 0.852 0.441
25 S 0.068 0.065 0.800
26 S 0.932 0.935 0.200
27 S 0.868 0.200 0.065
28 S 0.646 0.148 0.559
29 S 0.794 0.559 0.852

Output
E_form (uncorrected): -29.5 eV/f.u.
Symmetry: No. 87
Crystal system: tetragonal